PmEuPaSn | PBE-GGA | optimized geometry

Lattice parameters (Å, degrees): 5.4240 5.4240 5.4240 60.00 60.00 60.00
Last column: nearest neighbours and their distance in Å.
Sites, in units of the cell vectors:
Eu  0.0000  0.0000  0.0000  4 Sn 3.32, 4 Pa 3.32
Pa  0.7500  0.7500  0.7500  4 Eu 3.32, 4 Pm 3.32
Sn  0.2500  0.2500  0.2500  4 Pm 3.32, 4 Eu 3.32
Pm  0.5000  0.5000  0.5000  4 Pa 3.32, 4 Sn 3.32

Computed properties:
Space-group type: F-43m, No. 216
Electronic total energy in eV/atom: -7.0299
Volume in Å³ per atom: 28.2
Formation energy from the elements in eV per atom: 0.101